(1)
{
  "formula": "Ir2W",
  "functional": "PBEsol",
  "state": "optimized geometry",
  "magnetic_moment_mub_per_cell": 0.0,
  "total_energy_ev_per_atom": -11.198,
  "rho_g_cm3": 21.37,
  "crystal_system": "hexagonal",
  "vol_a3_per_cell": 44.16,
  "delta_e_f_mev_per_atom": -47,
  "n_ef_per_ev_cell": 2.5,
  "cell": [[4.3362, 0.0000, 0.0000], [-2.1681, 3.7553, 0.0000], [0.0000, 0.0000, 2.7120]],
  "species": ["Ir", "Ir", "W"],
  "fractional_positions": [[0.3333, 0.6667, 0.0000], [0.6667, 0.3333, 0.0000], [0.0000, 0.0000, 0.5000]]
}

=====

(2)
{
  "formula": "LaGaTc3",
  "functional": "PBEsol",
  "state": "optimized geometry",
  "magnetic_moment_mub_per_cell": 2.9,
  "total_energy_ev_per_atom": -7.503,
  "rho_g_cm3": 8.45,
  "crystal_system": "cubic",
  "vol_a3_per_cell": 98.78,
  "delta_e_f_mev_per_atom": 994,
  "n_ef_per_ev_cell": 6.6,
  "cell": [[4.6227, 0.0000, 0.0000], [0.0000, 4.6227, 0.0000], [0.0000, 0.0000, 4.6227]],
  "species": ["La", "Ga", "Tc", "Tc", "Tc"],
  "fractional_positions": [[0.0000, 0.0000, 0.0000], [0.5000, 0.5000, 0.5000], [0.0000, 0.5000, 0.5000], [0.5000, 0.0000, 0.5000], [0.5000, 0.5000, 0.0000]]
}

=====

(3)
{
  "formula": "Cs2HfI6",
  "functional": "PBEsol",
  "state": "optimized geometry",
  "magnetic_moment_mub_per_cell": 0.0,
  "total_energy_ev_per_atom": -3.797,
  "rho_g_cm3": 5.25,
  "crystal_system": "cubic",
  "vol_a3_per_cell": 381.09,
  "n_ef_per_ev_cell": 0.0,
  "formation_energy_uncorrected_ev_per_atom": -1.2428,
  "cell": [[0.0000, 5.7544, 5.7544], [5.7544, 0.0000, 5.7544], [5.7544, 5.7544, 0.0000]],
  "species": ["Cs", "Cs", "Hf", "I", "I", "I", "I", "I", "I"],
  "fractional_positions": [[0.2500, 0.2500, 0.2500], [0.7500, 0.7500, 0.7500], [0.0000, 0.0000, 0.0000], [0.2455, 0.2455, 0.7545], [0.2455, 0.7545, 0.2455], [0.2455, 0.7545, 0.7545], [0.7545, 0.2455, 0.2455], [0.7545, 0.2455, 0.7545], [0.7545, 0.7545, 0.2455]]
}

=====

(4)
{
  "formula": "LaCoSiC2",
  "functional": "PBEsol",
  "state": "optimized geometry",
  "magnetic_moment_mub_per_cell": 2.0,
  "total_energy_ev_per_atom": -4.826,
  "rho_g_cm3": 4.21,
  "crystal_system": "tetragonal",
  "vol_a3_per_cell": 98.55,
  "n_ef_per_ev_cell": 8.2,
  "formation_energy_uncorrected_ev_per_atom": 2.7972,
  "cell": [[4.2523, 0.0000, 0.0000], [0.0000, 4.2523, 0.0000], [0.0000, 0.0000, 5.4501]],
  "species": ["La", "Co", "Si", "C", "C"],
  "fractional_positions": [[0.0000, 0.0000, 0.0000], [0.5000, 0.5000, 0.5000], [0.0000, 0.0000, 0.5000], [0.0000, 0.5000, 0.0000], [0.5000, 0.0000, 0.0000]]
}